Arrangement A

## GdPuHg (GGA-PBE)

Data for an optimized crystal structure of GdPuHg.

abc: 3.6474 3.6474 6.8440
angles: 105.45 105.45 90.00
Element x y z (fractional)
Pu  0.2941  0.2941  0.5881
Gd  0.6029  0.6029  0.2057
Hg  0.9531  0.9531  0.9062

Results
The value obtained for the magnetization is 13.95 μB per formula unit. For the mass density, the calculation gives 11.85 Mg/m³.

Arrangement B

## GdPuHg (GGA-PBE)

Data for an optimized crystal structure of GdPuHg.

abc: 3.4045 5.2575 5.2575
angles: 120.00 90.00 90.00
Element x y z (fractional)
Gd  0.7008  0.3333  0.6667
Hg  0.0063  0.0000  0.0000
Pu  0.2929  0.6667  0.3333

Results
The value obtained for the magnetization is 13.22 μB per formula unit. For the mass density, the calculation gives 12.26 Mg/m³.

arrangement A takes first place; second place is 0.100 eV/atom up.

Arrangement A

## GdHgRh (GGA-PBE)

Data for an optimized crystal structure of GdHgRh.

abc: 3.6375 3.6375 5.4755
angles: 109.40 109.40 90.00
Element x y z (fractional)
Rh  0.2910  0.2910  0.5820
Hg  0.6237  0.6237  0.2475
Gd  0.9353  0.9353  0.8705

Results
The value obtained for the magnetization is 7.07 μB per formula unit. For the mass density, the calculation gives 11.96 Mg/m³.

Arrangement B

## GdHgRh (GGA-PBE)

Data for an optimized crystal structure of GdHgRh.

abc: 3.4111 4.7257 4.7257
angles: 120.00 90.00 90.00
Element x y z (fractional)
Gd  0.6667  0.6667  0.3333
Rh  0.1664  0.3333  0.6667
Hg  0.1669  0.0000  0.0000

Results
The value obtained for the magnetization is 7.17 μB per formula unit. For the mass density, the calculation gives 11.60 Mg/m³.

arrangement A takes first place; second place is 0.059 eV/atom up.

Arrangement A

## GdHgSb (GGA-PBE)

Data for an optimized crystal structure of GdHgSb.

abc: 4.1858 4.1858 5.5668
angles: 112.08 112.08 90.00
Element x y z (fractional)
Hg  0.6163  0.6163  0.2326
Gd  0.2927  0.2927  0.5854
Sb  0.9410  0.9410  0.8820

Results
The value obtained for the magnetization is 7.19 μB per formula unit. For the mass density, the calculation gives 9.64 Mg/m³.

Arrangement B

## GdHgSb (GGA-PBE)

Data for an optimized crystal structure of GdHgSb.

abc: 4.4901 4.6620 4.6620
angles: 120.00 90.00 90.00
Element x y z (fractional)
Hg  0.9922  0.0000  0.0000
Sb  0.6992  0.6667  0.3333
Gd  0.3086  0.3333  0.6667

Results
The value obtained for the magnetization is 6.95 μB per formula unit. For the mass density, the calculation gives 9.42 Mg/m³.

Arrangement C

## GdHgSb (GGA-PBE)

Data for an optimized crystal structure of GdHgSb.

abc: 5.1398 5.1398 5.1398
angles: 60.00 60.00 60.00
Element x y z (fractional)
Sb  0.5000  0.5000  0.5000
Hg  0.0000  0.0000  0.0000
Gd  0.2500  0.2500  0.2500

Results
The value obtained for the magnetization is 6.99 μB per formula unit. For the mass density, the calculation gives 8.29 Mg/m³.

arrangement B takes first place; second place is 0.051 eV/atom up.

Arrangement A

## GdHgSb2 (GGA-PBE)

Data for an optimized crystal structure of GdHgSb2.

abc: 4.3153 4.9144 4.9144
angles: 90.00 90.00 90.00
Element x y z (fractional)
Sb  0.0000  0.5000  0.0000
Sb  0.0000  0.0000  0.5000
Hg  0.5000  0.0000  0.0000
Gd  0.5000  0.5000  0.5000

Results
The value obtained for the magnetization is 6.86 μB per formula unit. For the mass density, the calculation gives 9.58 Mg/m³.

Arrangement B

## GdHgSb2 (GGA-PBE)

Data for an optimized crystal structure of GdHgSb2.

abc: 4.4901 4.4901 9.2301
angles: 75.92 75.92 60.00
Element x y z (fractional)
Sb  0.8983  0.8983  0.3050
Sb  0.1017  0.1017  0.6950
Gd  0.5000  0.5000  0.5000
Hg  0.0000  0.0000  0.0000

Results
The value obtained for the magnetization is 6.87 μB per formula unit. For the mass density, the calculation gives 6.46 Mg/m³.

arrangement A takes first place; second place is 0.255 eV/atom up.

Arrangement A

## GdScHg2 (GGA-PBE)

Data for an optimized crystal structure of GdScHg2.

abc: 3.5821 3.5821 7.4663
angles: 90.00 90.00 90.00
Element x y z (fractional)
Sc  0.5000  0.5000  0.5000
Gd  0.5000  0.5000  0.0000
Hg  0.0000  0.0000  0.7245
Hg  0.0000  0.0000  0.2755

Results
The value obtained for the magnetization is 7.52 μB per formula unit. For the mass density, the calculation gives 10.46 Mg/m³.

Arrangement B

## GdScHg2 (GGA-PBE)

Data for an optimized crystal structure of GdScHg2.

abc: 5.1531 5.1531 5.1531
angles: 60.00 60.00 60.00
Element x y z (fractional)
Gd  0.0000  0.0000  0.0000
Hg  0.2500  0.2500  0.2500
Hg  0.7500  0.7500  0.7500
Sc  0.5000  0.5000  0.5000

Results
The value obtained for the magnetization is 7.71 μB per formula unit. For the mass density, the calculation gives 10.36 Mg/m³.

arrangement A takes first place; second place is 0.017 eV/atom up.

Arrangement A

## Sm2GdHg (GGA-PBE)

Data for an optimized crystal structure of Sm2GdHg.

abc: 3.6571 3.6571 10.9927
angles: 80.42 80.42 60.00
Element x y z (fractional)
Hg  0.0000  0.0000  0.0000
Gd  0.5000  0.5000  0.5000
Sm  0.7430  0.7430  0.7709
Sm  0.2570  0.2570  0.2291

Results
The value obtained for the magnetization is 7.22 μB per formula unit. For the mass density, the calculation gives 8.75 Mg/m³.

Arrangement B

## Sm2GdHg (GGA-PBE)

Data for an optimized crystal structure of Sm2GdHg.

abc: 5.4745 5.4745 5.4745
angles: 60.00 60.00 60.00
Element x y z (fractional)
Sm  0.7500  0.7500  0.7500
Sm  0.2500  0.2500  0.2500
Gd  0.0000  0.0000  0.0000
Hg  0.5000  0.5000  0.5000

Results
The value obtained for the magnetization is 7.86 μB per formula unit. For the mass density, the calculation gives 9.43 Mg/m³.

Arrangement C

## Sm2GdHg (GGA-PBE)

Data for an optimized crystal structure of Sm2GdHg.

abc: 3.6877 3.6877 8.9025
angles: 90.00 90.00 90.00
Element x y z (fractional)
Hg  0.5000  0.5000  0.0000
Sm  0.0000  0.0000  0.7775
Sm  0.0000  0.0000  0.2225
Gd  0.5000  0.5000  0.5000

Results
The value obtained for the magnetization is 7.28 μB per formula unit. For the mass density, the calculation gives 9.03 Mg/m³.

Arrangement D

## Sm2GdHg (GGA-PBE)

Data for an optimized crystal structure of Sm2GdHg.

abc: 3.8021 5.5397 5.5397
angles: 90.00 90.00 90.00
Element x y z (fractional)
Sm  0.0000  0.0000  0.5000
Sm  0.0000  0.5000  0.0000
Gd  0.5000  0.5000  0.5000
Hg  0.5000  0.0000  0.0000

Results
The value obtained for the magnetization is 7.14 μB per formula unit. For the mass density, the calculation gives 9.37 Mg/m³.

arrangement C takes first place; second place is 0.070 eV/atom up.